No. 1
{"formula": "Zn2FeSe", "functional": "PBE", "state": "optimized geometry", "cell": [[-2.1220, 1.8940, 0.3057], [-1.2233, -1.6869, 1.9600], [4.0633, 3.6379, 5.6670]], "species": ["Zn", "Zn", "Se", "Fe"], "fractional_positions": [[0.5000, 0.5000, 0.2844], [0.0000, 0.0000, 0.0461], [0.5000, 0.5000, 0.6649], [0.0000, 0.0000, 0.5046]]}

No. 2
{"formula": "TiRh3Cl", "functional": "PBE", "state": "optimized geometry", "cell": [[-1.1726, 1.2431, 4.0439], [0.3903, -4.1467, 1.3879], [4.2126, 0.7302, 0.9971]], "species": ["Ti", "Rh", "Rh", "Rh", "Cl"], "fractional_positions": [[0.5000, 0.5000, 0.5000], [0.0000, 0.5000, 0.0000], [0.5000, 0.0000, 0.0000], [0.0000, 0.0000, 0.5000], [0.0000, 0.0000, 0.0000]]}

Number 1: formation energy without anion corrections 0.07 eV/atom. Number 2: formation energy without anion corrections 0.58 eV/atom.